(A)
Here is a relaxed CoSnSeO crystal from the Open Quantum Materials Database. Energies are from PBE+U.

a b c (Å): 3.2652 3.2652 14.9217
angles (deg): 90.00 90.00 120.00
Closest atoms and distances in Å follow each position.
Space group P6_3mc (No. 186)
Asymmetric unit:
Co 0.3333 0.6667 0.0000 [2 per cell]  3 O 2.06
Sn 0.0000 0.0000 0.1995 [2 per cell]  1 O 2.13
Se 0.3333 0.6667 0.3823 [2 per cell]  3 Co 2.58
O 0.0000 0.0000 0.0564 [2 per cell]  3 Co 2.06, 1 Sn 2.13

Total magnetization ... 4.89 Bohr magnetons per cell

(B)
Here is a relaxed CoSnSeO crystal from the Open Quantum Materials Database. Energies are from PBE+U.

a b c (Å): 3.8805 3.8805 12.0721
angles (deg): 90.00 90.00 120.00
Closest atoms and distances in Å follow each position.
Space group P6_3mc (No. 186)
Asymmetric unit:
Co 0.0000 0.0000 0.0000 [2 per cell]  1 O 1.92
Sn 0.3333 0.6667 0.2735 [2 per cell]  3 O 2.38
Se 0.3333 0.6667 0.5805 [2 per cell]  3 Co 2.44
O 0.0000 0.0000 0.3411 [2 per cell]  1 Co 1.92

Total magnetization ... 6.00 Bohr magnetons per cell

Of them, the most stable is (B) and the least stable is (A).